A relaxed structure of Sr3Ge2As4, computed with PBE.

Lattice parameters (Å, degrees): 7.7064 18.7650 7.5540 90.00 111.90 90.00
Closest atoms and distances in Å follow each position.
Space group P2_1/c (No. 14)
Unique sites:
Sr: 0.2180 0.1845 0.0126 [4 per cell]  6 As 3.14-3.33
Sr: 0.2552 0.0613 0.5116 [4 per cell]  6 As 3.15-3.36
Sr: 0.2609 0.5602 0.5024 [4 per cell]  6 As 3.14-3.26
Ge: 0.2124 0.6285 0.0280 [4 per cell]  3 As 2.45-2.54, 1 Ge 2.50
Ge: 0.3147 0.7403 0.9144 [4 per cell]  3 As 2.50-2.52, 1 Ge 2.50
As: 0.0076 0.5606 0.7521 [4 per cell]  1 Ge 2.45
As: 0.0402 0.6860 0.2191 [4 per cell]  2 Ge 2.50-2.54
As: 0.4970 0.5679 0.2415 [4 per cell]  1 Ge 2.46
As: 0.4977 0.1981 0.7763 [4 per cell]  2 Ge 2.52

Properties
* DFT total energy: -4.46 eV per atom

=====

A relaxed structure of Sr3GeAs3, computed with PBE.

Lattice parameters (Å, degrees): 9.1042 9.1042 6.2912 90.00 90.00 120.00
Closest atoms and distances in Å follow each position.
Space group P6_3/m (No. 176)
Unique sites:
Sr: 0.0777 0.3785 0.2500 [6 per cell]  5 As 3.09-3.21
Ge: 0.3333 0.6667 0.7500 [2 per cell]  3 As 2.45
As: 0.0859 0.3810 0.7500 [6 per cell]  1 Ge 2.45

Properties
* DFT total energy: -4.20 eV per atom
* DOS at the Fermi energy: 3.577 states/eV/f.u.

=====

A relaxed structure of Sr3Ge2As4, computed with PBE.

Lattice parameters (Å, degrees): 13.6086 11.2898 6.6388 90.00 91.28 90.00
Closest atoms and distances in Å follow each position.
Space group C2/c (No. 15)
Unique sites:
Sr: 0.0000 0.1097 0.2500 [4 per cell]  6 As 3.12-3.26, 2 Ge 3.46
Sr: 0.1227 0.3694 0.9467 [8 per cell]  6 As 3.14-3.35
Ge: 0.2070 0.1198 0.5615 [8 per cell]  3 As 2.51-2.58
As: 0.1094 0.3417 0.4440 [8 per cell]  1 Ge 2.54
As: 0.1576 0.0847 0.9185 [8 per cell]  2 Ge 2.51-2.58

Properties
* DFT total energy: -4.34 eV per atom
* DOS at the Fermi energy: 2.067 states/eV/f.u.

=====

Per-record calculated density, Mg/m³: 4.64, 4.12, 4.61
Per-record relative energy among the computed polymorphs, meV/atom: 0, 50, 115
Per-record energy of formation from the pure elements, eV/atom: -0.80, -0.83, -0.69